1.
Density functional theory data (PBE) for a relaxed La2Sm3Y8 crystal.

* mass density: 5.2 g/cm3
* formation energy: 0.25 eV per atom
* space group: C2/m, No. 12
* N(E_F): 25.484 states/eV/f.u.
* polymorph energy (0 for the lowest one): 0 meV per atom

abc: 5.650 11.164 11.164
angles: 40.40 90.01 90.01
Fractional positions:
La 0.499 0.241 0.241
La 0.501 0.759 0.759
Sm 0.500 0.000 0.000
Sm 0.000 0.291 0.709
Sm 0.000 0.709 0.291
Y 0.000 0.662 0.662
Y 0.000 0.338 0.338
Y 0.000 0.128 0.128
Y 0.000 0.872 0.872
Y 0.500 0.606 0.182
Y 0.500 0.182 0.606
Y 0.500 0.818 0.394
Y 0.500 0.394 0.818

2.
Density functional theory data (PBE) for a relaxed La7Cd2Pd2 crystal.

* mass density: 6.5 g/cm3
* formation energy: -0.29 eV per atom
* space group: C2/m, No. 12
* N(E_F): 14.508 states/eV/f.u.
* polymorph energy (0 for the lowest one): 83 meV per atom

abc: 7.169 7.434 7.169
angles: 90.06 108.56 89.94
Fractional positions:
La 0.000 0.265 0.500
La 0.500 0.735 0.000
La 0.000 0.735 0.500
La 0.500 0.265 0.000
La 0.000 0.000 0.000
La 0.500 0.746 0.500
La 0.500 0.254 0.500
Cd 0.834 0.500 0.834
Cd 0.166 0.500 0.166
Pd 0.712 0.000 0.288
Pd 0.288 0.000 0.712

3.
Density functional theory data (PBE) for a relaxed ZnP2IO crystal.

* E_form (uncorrected): 278 kJ/mol of formula units
* mass density: 4.9 g/cm3
* space group: P4/mmm, No. 123
* N(E_F): 4.085 states/eV/f.u.
* polymorph energy (0 for the lowest one): 0 meV per atom

abc: 4.911 4.911 3.791
angles: 90.00 90.00 90.00
Fractional positions:
I 0.500 0.500 0.500
P 0.000 0.500 0.000
P 0.500 0.000 0.000
Zn 0.000 0.000 0.000
O 0.000 0.000 0.500

4.
Density functional theory data (PBE) for a relaxed BaAg3Sb3 crystal.

* E_form (uncorrected): -132 kJ/mol of formula units
* mass density: 7.0 g/cm3
* space group: R-3, No. 148
* N(E_F): 2.292 states/eV/f.u.
* polymorph energy (0 for the lowest one): 0 meV per atom

abc: 6.983 6.983 10.179
angles: 69.94 69.94 60.00
Fractional positions:
Ba 0.308 0.308 0.076
Ba 0.692 0.692 0.924
Ag 0.592 0.767 0.574
Ag 0.767 0.067 0.574
Ag 0.067 0.592 0.574
Ag 0.933 0.408 0.426
Ag 0.233 0.933 0.426
Ag 0.408 0.233 0.426
Sb 0.242 0.687 0.255
Sb 0.816 0.242 0.255
Sb 0.687 0.816 0.255
Sb 0.313 0.184 0.745
Sb 0.184 0.758 0.745
Sb 0.758 0.313 0.745

5.
Density functional theory data (PBE) for a relaxed HfZrRu2 crystal.

* mass density: 11.3 g/cm3
* formation energy: -0.73 eV per atom
* space group: Fm-3m, No. 225
* N(E_F): 0.056 states/eV/f.u.

abc: 4.610 4.610 4.610
angles: 60.00 60.00 60.00
Fractional positions:
Ru 0.250 0.250 0.250
Ru 0.750 0.750 0.750
Hf 0.500 0.500 0.500
Zr 0.000 0.000 0.000

6.
Density functional theory data (PBE) for a relaxed RbTcPt2S crystal.

* E_form (uncorrected): 508 kJ/mol of formula units
* mass density: 8.5 g/cm3
* space group: P4/mmm, No. 123
* N(E_F): 4.769 states/eV/f.u.

abc: 4.584 5.619 4.584
angles: 90.00 90.00 90.00
Site moments in Bohr magnetons follow the coordinates.
Fractional positions:
S 0.000 0.000 0.000  0.04
Rb 0.000 0.500 0.000  0.02
Tc 0.500 0.500 0.500  3.34
Pt 0.000 0.000 0.500  0.00
Pt 0.500 0.000 0.000  0.03

Q: Look up the mass density of the sixth one.
A: 8.5 g/cm3